Record 1
## AcSm2Ga (PBE-GGA)

Data for an optimized crystal structure of AcSm2Ga.

The structure in POSCAR format:
```
AcSm2Ga
1.0
-0.6923 -1.2672 3.5129
-0.6150 -3.7001 0.5973
9.8797 -3.1280 2.8718
Ac Sm Ga
1 2 1
Direct
0.5000 0.5000 0.5000 Ac
0.7346 0.7346 0.7963 Sm
0.2654 0.2654 0.2037 Sm
0.0000 0.0000 0.0000 Ga
```

Calculated values
offset from the most stable computed form = 0.30 eV per formula unit
total magnetic moment = 0.0 μB per formula unit
formation enthalpy at 0 K = -0.17 eV/atom
crystal system = trigonal
final energy = -4.31 eV per atom

Record 2
## AcTb2Ce3S6 (PBE-GGA)

Data for an optimized crystal structure of AcTb2Ce3S6.

The structure in POSCAR format:
```
AcTb2Ce3S6
1.0
7.0094 -0.0029 -0.0034
-3.5055 6.0699 -0.0034
-1.1719 -2.0290 6.6147
Ce S Tb Ac
3 6 2 1
Direct
0.8383 0.1617 0.5000 Ce
0.1617 0.8383 0.5000 Ce
0.5000 0.5000 0.5000 Ce
0.5677 0.9165 0.7496 S
0.4323 0.0835 0.2504 S
0.0835 0.4323 0.2504 S
0.9165 0.5677 0.7496 S
0.7326 0.7326 0.2448 S
0.2674 0.2674 0.7552 S
0.6671 0.3329 0.0000 Tb
0.3329 0.6671 0.0000 Tb
0.0000 0.0000 0.0000 Ac
```

Calculated values
total magnetic moment = 2.6 μB per formula unit
crystal system = monoclinic
uncorrected formation energy = -2005 meV per atom
final energy = -6.67 eV per atom

Record 3
## CaYAl6 (PBE-GGA)

Data for an optimized crystal structure of CaYAl6.

The structure in POSCAR format:
```
CaYAl6
1.0
4.4485 0.0000 0.0000
0.0000 6.1494 0.0000
0.0000 0.0000 5.9812
Al Y Ca
6 1 1
Direct
0.5000 0.2408 0.0000 Al
0.5000 0.8652 0.7445 Al
0.0000 0.1380 0.7480 Al
0.0000 0.1380 0.2520 Al
0.0000 0.7520 0.5000 Al
0.5000 0.8652 0.2555 Al
0.5000 0.3960 0.5000 Y
0.0000 0.6050 0.0000 Ca
```

Calculated values
total magnetic moment = 0.0 μB per formula unit
formation enthalpy at 0 K = -0.29 eV/atom
crystal system = orthorhombic
final energy = -4.16 eV per atom

Record 4
## Ta2SbMo (PBE-GGA)

Data for an optimized crystal structure of Ta2SbMo.

The structure in POSCAR format:
```
Ta2SbMo
1.0
-3.5645 1.3085 2.7258
0.0061 -2.6834 1.2961
3.4584 0.6646 4.2036
Mo Ta Sb
1 2 1
Direct
0.0000 0.5534 0.4754 Mo
0.0000 0.0435 0.0057 Ta
0.5000 0.2917 0.2698 Ta
0.5000 0.6115 0.7492 Sb
```

Calculated values
total magnetic moment = 0.0 μB per formula unit
crystal system = monoclinic
uncorrected formation energy = 154 meV per atom
final energy = -9.51 eV per atom